Record 1
A plane-wave DFT calculation with PBE was carried out for a relaxed structure of NdCd2Ge.

V ... 103 Å³ per cell
Offset from the most stable computed form ... 0.661 eV/atom
E_form ... 0.254 eV per atom
Total energy ... -2.550 eV/atom
Total magnetic moment ... 0.000 μB/f.u.

abc: 11.323 11.323 11.323
angles: 16.61 16.61 16.61
Atoms (fractional coordinates):
Nd: 0.000 0.000 0.000
Cd: 0.096 0.096 0.096
Cd: 0.904 0.904 0.904
Ge: 0.500 0.500 0.500

Record 2
A plane-wave DFT calculation with PBE was carried out for a relaxed structure of NdCdGe2.

V ... 93 Å³ per cell
Offset from the most stable computed form ... 0.142 eV/atom
E_form ... -0.278 eV per atom
Total energy ... -4.008 eV/atom
Total magnetic moment ... 0.000 μB/f.u.

abc: 5.699 5.699 5.699
angles: 47.78 47.78 47.78
Atoms (fractional coordinates):
Nd: 0.000 0.000 0.000
Cd: 0.500 0.500 0.500
Ge: 0.229 0.229 0.229
Ge: 0.771 0.771 0.771

Record 3
A plane-wave DFT calculation with PBE was carried out for a relaxed structure of Nd4CdGe.

V ... 730 Å³ per cell
E_form ... -0.379 eV per atom
Total energy ... -4.479 eV/atom
Total magnetic moment ... 0.000 μB/f.u.

abc: 10.106 10.106 10.106
angles: 60.00 60.00 60.00
Atoms (fractional coordinates):
Nd: 0.062 0.062 0.438
Nd: 0.062 0.438 0.062
Nd: 0.062 0.438 0.438
Nd: 0.175 0.608 0.608
Nd: 0.185 0.185 0.815
Nd: 0.185 0.815 0.185
Nd: 0.185 0.815 0.815
Nd: 0.438 0.062 0.062
Nd: 0.438 0.062 0.438
Nd: 0.438 0.438 0.062
Nd: 0.608 0.175 0.608
Nd: 0.608 0.608 0.175
Nd: 0.608 0.608 0.608
Nd: 0.815 0.185 0.185
Nd: 0.815 0.185 0.815
Nd: 0.815 0.815 0.185
Cd: 0.508 0.831 0.831
Cd: 0.831 0.508 0.831
Cd: 0.831 0.831 0.508
Cd: 0.831 0.831 0.831
Ge: 0.396 0.396 0.396
Ge: 0.396 0.396 0.813
Ge: 0.396 0.813 0.396
Ge: 0.813 0.396 0.396

Record 4
A plane-wave DFT calculation with PBE was carried out for a relaxed structure of NdCdGe.

V ... 75 Å³ per cell
E_form ... -0.499 eV per atom
Total energy ... -3.933 eV/atom
Total magnetic moment ... 0.000 μB/f.u.

abc: 4.509 4.509 4.233
angles: 90.00 90.00 120.00
Atoms (fractional coordinates):
Nd: 0.000 0.000 0.000
Cd: 0.667 0.333 0.534
Ge: 0.333 0.667 0.417

Record 5
A plane-wave DFT calculation with PBE was carried out for a relaxed structure of NdCdGe.

V ... 144 Å³ per cell
E_form ... -0.569 eV per atom
Total energy ... -4.002 eV/atom
Total magnetic moment ... 0.000 μB/f.u.

abc: 5.935 5.935 7.367
angles: 123.52 123.52 43.78
Atoms (fractional coordinates):
Nd: 0.064 0.064 0.321
Nd: 0.936 0.936 0.679
Cd: 0.336 0.336 0.921
Cd: 0.664 0.664 0.079
Ge: 0.345 0.345 0.320
Ge: 0.655 0.655 0.680

Record 6
A plane-wave DFT calculation with PBE was carried out for a relaxed structure of Nd6CdGe2.

V ... 539 Å³ per cell
E_form ... -0.469 eV per atom
Total energy ... -4.775 eV/atom
Total magnetic moment ... 0.000 μB/f.u.

abc: 8.883 8.883 8.883
angles: 111.27 110.34 106.84
Atoms (fractional coordinates):
Nd: 0.049 0.248 0.800
Nd: 0.172 0.469 0.297
Nd: 0.172 0.875 0.703
Nd: 0.323 0.227 0.550
Nd: 0.323 0.773 0.096
Nd: 0.448 0.248 0.200
Nd: 0.552 0.752 0.800
Nd: 0.677 0.227 0.904
Nd: 0.677 0.773 0.450
Nd: 0.828 0.125 0.297
Nd: 0.828 0.531 0.703
Nd: 0.951 0.752 0.200
Cd: 0.000 0.000 0.000
Cd: 0.500 0.500 0.000
Ge: 0.154 0.500 0.654
Ge: 0.380 0.880 0.500
Ge: 0.620 0.120 0.500
Ge: 0.846 0.500 0.346

Record 7
A plane-wave DFT calculation with PBE was carried out for a relaxed structure of NdCdGe2.

V ... 89 Å³ per cell
Offset from the most stable computed form ... 0.000 eV/atom
E_form ... -0.420 eV per atom
Total energy ... -4.150 eV/atom
Total magnetic moment ... 0.000 μB/f.u.

abc: 4.597 4.597 4.221
angles: 90.00 90.00 90.00
Atoms (fractional coordinates):
Nd: 0.000 0.000 0.000
Cd: 0.500 0.500 0.000
Ge: 0.000 0.500 0.500
Ge: 0.500 0.000 0.500

Record 8
A plane-wave DFT calculation with PBE was carried out for a relaxed structure of Nd2Cd3Ge2.

V ... 175 Å³ per cell
E_form ... -0.447 eV per atom
Total energy ... -3.521 eV/atom
Total magnetic moment ... 0.000 μB/f.u.

abc: 10.644 10.644 4.228
angles: 90.00 90.00 158.53
Atoms (fractional coordinates):
Nd: 0.169 0.831 0.000
Nd: 0.831 0.169 0.000
Cd: 0.000 0.000 0.000
Cd: 0.430 0.570 0.500
Cd: 0.570 0.430 0.500
Ge: 0.289 0.711 0.500
Ge: 0.711 0.289 0.500